Record 1
An optimized crystal structure of LiEr2Zn16, computed with PBE-GGA.

abc: 6.772 6.772 6.772
angles: 82.75 82.75 82.75
Fractional coordinates of all 19 atoms:
Li: 0.907 0.907 0.907
Er: 0.663 0.663 0.663
Er: 0.338 0.338 0.338
Zn: 0.702 0.999 0.295
Zn: 0.999 0.295 0.702
Zn: 0.295 0.702 0.999
Zn: 0.999 0.702 0.295
Zn: 0.702 0.295 0.999
Zn: 0.295 0.999 0.702
Zn: 0.354 0.835 0.354
Zn: 0.835 0.354 0.354
Zn: 0.354 0.354 0.835
Zn: 0.647 0.156 0.647
Zn: 0.156 0.647 0.647
Zn: 0.647 0.647 0.156
Zn: 0.997 0.503 0.997
Zn: 0.503 0.997 0.997
Zn: 0.997 0.997 0.503
Zn: 0.108 0.108 0.108

Computed properties:
ρ ... 7.59 g cm⁻³
ΔH_f (0 K) ... -0.23 eV/atom
Total magnetization ... 0.00 μB/f.u.
Raw total energy ... -1.89 eV per atom


Record 2
An optimized crystal structure of Sc3GaTc, computed with PBE-GGA.

abc: 4.621 4.639 9.375
angles: 90.00 75.73 90.00
Fractional coordinates of all 10 atoms:
Sc: 0.137 0.344 0.445
Sc: 0.956 0.344 0.807
Sc: 0.634 0.844 0.450
Sc: 0.777 0.344 0.165
Sc: 0.274 0.844 0.170
Sc: 0.455 0.844 0.807
Ga: 0.865 0.844 0.988
Ga: 0.546 0.344 0.627
Tc: 0.360 0.344 0.998
Tc: 0.051 0.844 0.617

Computed properties:
ρ ... 5.16 g cm⁻³
E above lowest polymorph ... 0.000 eV/atom
ΔH_f (0 K) ... -0.37 eV/atom
Total magnetization ... 0.00 μB/f.u.
Raw total energy ... -6.85 eV per atom


Record 3
An optimized crystal structure of TaTiN2O, computed with PBE-GGA.

abc: 4.055 4.055 3.874
angles: 90.00 90.00 90.00
Each line ends with the local moment (μB).
Fractional coordinates of all 5 atoms:
N: 0.000 0.500 0.000  0.14
N: 0.500 0.000 0.000  0.14
Ti: 0.500 0.500 0.500  -1.22
O: 0.000 0.000 0.500  0.05
Ta: 0.000 0.000 0.000  -0.04

Computed properties:
ρ ... 7.11 g cm⁻³
E_form (uncorrected) ... -0.7618 eV per atom
Total magnetization ... 1.02 μB/f.u.
Raw total energy ... -9.03 eV per atom